A) Compound: Na2Sm
Source: the Alexandria database
Functional: GGA-PBE
Structure: optimized geometry

POSCAR file:
```
Na2Sm
1.0
0.0000 4.6298 4.6298
4.6298 0.0000 4.6298
4.6298 4.6298 0.0000
Na Sm
4 2
Direct
0.0000 0.0000 0.0000
0.0000 0.0000 0.5000
0.0000 0.5000 0.0000
0.5000 0.0000 0.0000
0.3750 0.3750 0.3750
0.6250 0.6250 0.6250
```

Values from the calculation:
Fermi-level density of states ... 0.722 states/eV/atom

---

B) Compound: Na2Sm
Source: the Alexandria database
Functional: GGA-PBE
Structure: optimized geometry

POSCAR file:
```
Na2Sm
1.0
6.1580 0.0000 0.0000
0.0000 3.5492 0.0000
-2.0956 0.0000 9.4778
Na Sm
4 2
Direct
0.0000 0.0000 0.0000
0.0599 0.5000 0.6531
0.5000 0.5000 0.0000
0.5599 0.0000 0.6531
0.2790 0.5000 0.3263
0.7790 0.0000 0.3263
```

Values from the calculation:
Fermi-level density of states ... 0.609 states/eV/atom

---

Quick look at relative energies in meV/atom: A) 162; B) 0.

---

A) Compound: NaSrSm
Source: the Alexandria database
Functional: GGA-PBE
Structure: optimized geometry

POSCAR file:
```
NaSrSm
1.0
3.8269 0.0000 0.0000
-1.9135 3.3142 0.0000
0.0000 0.0000 9.5978
Na Sr Sm
1 1 1
Direct
0.0000 0.0000 0.0000
0.6667 0.3333 0.3524
0.3333 0.6667 0.6818
```

Values from the calculation:
Fermi-level density of states ... 1.151 states/eV/atom

---

B) Compound: NaSrSm
Source: the Alexandria database
Functional: GGA-PBE
Structure: optimized geometry

POSCAR file:
```
NaSrSm
1.0
5.6393 0.0000 0.0000
0.0000 5.6350 0.0000
-0.0153 0.0000 15.2545
Na Sr Sm
4 4 4
Direct
0.2490 0.0000 0.0703
0.2510 0.5000 0.9297
0.7490 0.5000 0.0703
0.7510 0.0000 0.9297
0.2493 0.5000 0.2509
0.2507 0.0000 0.7491
0.7493 0.0000 0.2509
0.7507 0.5000 0.7491
0.2496 0.0000 0.4294
0.2504 0.5000 0.5706
0.7504 0.0000 0.5706
0.7496 0.5000 0.4294
```

Values from the calculation:
Fermi-level density of states ... 0.829 states/eV/atom

---

Quick look at relative energies in meV/atom: A) 132; B) 0.